The following is a DFT calculation (GGA-PBE) of Ca3PmSb2P after structural relaxation.

Cell: 5.216 5.409 16.276 Å, 90.00 90.00 90.00°
Space group Immm (No. 71)
Inequivalent atoms, fractional coordinates:
Ca (0.000, 0.000, 0.000)
Ca (0.000, 0.500, 0.325)
Pm (0.000, 0.000, 0.500)
Sb (0.000, 0.500, 0.133)
P (0.000, 0.500, 0.500)

Raw total energy ... -62.99 eV/cell
E_form (uncorrected) ... -1.012 eV per atom